Density functional theory data (PBE) for an optimized crystal structure of La3Pm2Tm4.

Unit cell a=6.185 b=11.290 c=11.290 alpha=63.41 beta=63.29 gamma=63.29
Atoms (fractional coordinates):
Tm 0.928 0.172 0.940
Tm 0.900 0.847 0.612
Tm 0.100 0.153 0.388
Tm 0.072 0.828 0.060
Tm 0.400 0.612 0.847
Tm 0.428 0.940 0.172
Tm 0.600 0.388 0.153
Tm 0.572 0.060 0.828
La 0.750 0.377 0.623
La 0.772 0.019 0.303
La 0.728 0.697 0.981
La 0.250 0.623 0.377
La 0.228 0.981 0.697
La 0.272 0.303 0.019
Pm 0.061 0.481 0.749
Pm 0.439 0.251 0.519
Pm 0.561 0.749 0.481
Pm 0.939 0.519 0.251

Calculated values
- spin magnetization (μB per atom) = 0.000
- DFT formation energy (meV per atom) = 100
- SG = C2/c (15)
- calculated volume (A^3/atom) = 33.25
- DOS at the Fermi energy (states/eV/cell) = 26.941